DFT (PBE+U) results for Li4Ti2Mn3Fe3O16 after structural relaxation.

**Crystal system**: triclinic
**Raw total energy**: -193.73 eV/cell

Cell: 5.8366 5.8616 9.4664 Å, 89.10 89.92 60.40°
Positions (direct):
Li 0.0000 0.0000 0.0000
Li 0.0036 0.9862 0.4956
Li 0.3429 0.3077 0.5923
Li 0.6667 0.6523 0.1016
Ti 0.3360 0.3318 0.0012
Ti 0.6718 0.6482 0.4942
Mn 0.1739 0.1579 0.2762
Mn 0.3438 0.8170 0.7790
Mn 0.8366 0.3331 0.7762
Fe 0.1751 0.6441 0.2795
Fe 0.6635 0.1555 0.2786
Fe 0.8295 0.8254 0.7762
O 0.0043 0.9884 0.1874
O 0.0075 0.0007 0.6852
O 0.0411 0.4659 0.1580
O 0.1502 0.1879 0.9029
O 0.1715 0.6643 0.9019
O 0.3373 0.3131 0.3824
O 0.3382 0.8196 0.3941
O 0.4775 0.0281 0.1550
O 0.4816 0.4673 0.1557
O 0.5200 0.9407 0.6465
O 0.5524 0.4744 0.6439
O 0.6670 0.1656 0.8957
O 0.6699 0.6463 0.8858
O 0.8414 0.8143 0.3974
O 0.8461 0.3154 0.3913
O 0.9720 0.5000 0.6534